(1)
PBE NaLi3Cu, relaxed; DOS at the Fermi energy = 0.50 states/eV per atom; excess energy over the best structure of this formula in the dataset = 0 meV per atom; crystal system = cubic
1.0
4.864 0.000 0.000
0.000 4.864 0.000
0.000 0.000 4.864
Li Na Cu
3 1 1
direct
0.000 0.000 0.500 Li
0.000 0.500 0.000 Li
0.500 0.000 0.000 Li
0.500 0.500 0.500 Na
0.000 0.000 0.000 Cu


(2)
PBE Li2CoOs, relaxed; DOS at the Fermi energy = 0.82 states/eV per atom; excess energy over the best structure of this formula in the dataset = 168 meV per atom; crystal system = orthorhombic
1.0
2.458 0.000 0.000
0.000 4.315 0.000
0.000 0.000 4.946
Li Os Co
2 1 1
direct
0.000 0.000 0.005 Li
0.000 0.000 0.495 Li
0.500 0.500 0.250 Os
0.500 0.500 0.750 Co


(3)
PBE ZrTlAsClO, relaxed; DOS at the Fermi energy = 0.31 states/eV per atom; excess energy over the best structure of this formula in the dataset = 244 meV per atom; crystal system = orthorhombic; formation energy (no corrections) = -1.12 eV per atom
1.0
-1.816 2.020 3.770
-4.798 -0.855 -1.853
-0.251 -10.320 5.409
As Cl Tl O Zr
2 2 2 2 2
direct
0.000 0.000 0.800 As
0.000 0.500 0.300 As
0.500 0.000 0.185 Cl
0.500 0.500 0.685 Cl
0.000 0.500 0.904 Tl
0.000 0.000 0.404 Tl
0.500 0.500 0.016 O
0.500 0.000 0.516 O
0.500 0.500 0.176 Zr
0.500 0.000 0.676 Zr


(4)
PBE Li2CoAs, relaxed; DOS at the Fermi energy = 0.78 states/eV per atom; crystal system = trigonal
1.0
-1.864 8.472 -1.206
-2.223 8.327 1.556
0.325 8.737 0.500
As Li Co
1 2 1
direct
0.250 0.250 0.250 As
0.501 0.501 0.501 Li
0.999 0.999 0.999 Li
0.750 0.750 0.750 Co


Computed values of electronic total energy (unit: eV/atom) for the preceding records, in sequence: -2.099 -5.246 -5.591 -3.806.
Computed values of total moment (unit: Bohr magnetons per cell) for the preceding records, in sequence: 0.0 1.9 0.0 1.7.